(i)
Computed, not measured: a geometry-optimized Pr2LuCu structure at the PBE level of DFT.

Properties
Size of the total moment, Bohr magnetons per cell: 0.00
DOS(E_F), states/eV/cell: 6.5
Theoretical density, kg/m³: 7610

abc: 3.6594 3.6594 8.4782
angles: 90.00 90.00 90.00
With the nearest neighbours (Å) after each atom.
Space group P4/mmm (No. 123)
Unique sites:
Pr1 0.0000 0.0000 0.2075  4 Cu 3.13
Lu1 0.5000 0.5000 0.5000  8 Pr 3.58, 4 Lu 3.66
Cu1 0.5000 0.5000 0.0000  8 Pr 3.13

=====

(ii)
Computed, not measured: a geometry-optimized Pr2LuCu structure at the PBE level of DFT.

Properties
Size of the total moment, Bohr magnetons per cell: 0.00
DOS(E_F), states/eV/cell: 18.3
Theoretical density, kg/m³: 7269

abc: 3.5044 3.5044 33.5263
angles: 90.00 90.00 120.00
With the nearest neighbours (Å) after each atom.
Space group R-3m (No. 166, hexagonal axes)
Unique sites:
Pr1 0.0000 0.0000 0.1012  3 Cu 2.99
Lu1 0.0000 0.0000 0.0000  2 Pr 3.39, 6 Lu 3.50
Cu1 0.0000 0.0000 0.5000  6 Pr 2.99

=====

Pick (i): it beats the second-best structure by 29.2 kJ/mol of atoms.